Density functional theory data (PBE) for an optimized crystal structure of CeHo2Rh.

Cell and atoms, written as POSCAR:
```
CeHo2Rh
1.0
3.438 0.000 0.000
0.000 3.438 0.000
0.000 0.000 8.655
Rh Ho Ce
1 2 1
Cartesian
1.719 1.719 0.000
0.000 0.000 1.651
0.000 0.000 7.003
1.719 1.719 4.327
```

Energy above the most stable polymorph in this dataset: 81.5 meV/atom
Total magnetic moment: 1.36 μB/cell
Energy: -6.002 eV per atom
Energy of formation from the pure elements: -0.39 eV/atom
N(E_F): 6.2 states/eV/f.u.

=====

Density functional theory data (PBE) for an optimized crystal structure of PmY4Er3.

Cell and atoms, written as POSCAR:
```
PmY4Er3
1.0
6.289 0.000 0.000
0.000 7.283 0.000
0.000 0.000 11.270
Y Er Pm
8 6 2
Cartesian
3.036 6.365 2.800
4.068 0.920 0.000
4.057 0.921 5.635
3.036 6.365 8.470
0.912 6.363 0.000
6.181 0.918 8.435
0.924 6.363 5.635
6.181 0.918 2.835
3.017 2.739 2.820
0.935 2.740 5.635
4.079 4.543 0.000
6.161 4.544 8.455
3.017 2.739 8.450
6.161 4.544 2.815
0.940 2.740 0.000
4.085 4.543 5.635
```

Energy above the most stable polymorph in this dataset: 0.0 meV/atom
Total magnetic moment: 0.00 μB/cell
Energy: -5.533 eV per atom
Energy of formation from the pure elements: 0.00 eV/atom
N(E_F): 13.8 states/eV/f.u.

=====

Density functional theory data (PBE) for an optimized crystal structure of Ac2ZnPtAu6.

Cell and atoms, written as POSCAR:
```
Ac2ZnPtAu6
1.0
-2.258 6.877 -1.471
-2.223 -0.222 6.558
1.987 3.155 5.837
Au Pt Zn Ac
6 1 1 2
Cartesian
-2.399 6.635 6.927
0.201 5.396 5.933
-0.217 4.634 10.201
-0.095 3.175 3.997
-2.695 4.414 4.991
-2.277 5.175 0.723
0.000 0.000 0.000
-2.240 3.328 2.544
-0.993 2.841 7.552
-1.501 6.969 3.373
```

Total magnetic moment: 0.00 μB/cell
Energy: -4.066 eV per atom
Energy of formation from the pure elements: -0.55 eV/atom
N(E_F): 4.5 states/eV/f.u.

=====

Density functional theory data (PBE) for an optimized crystal structure of LiPmCu5.

Cell and atoms, written as POSCAR:
```
LiPmCu5
1.0
5.141 0.000 0.000
0.000 8.145 0.000
0.000 0.000 10.299
Cu Li Pm
20 4 4
Cartesian
2.592 3.509 1.934
3.856 4.583 6.210
3.856 2.598 7.717
1.285 7.635 1.061
2.550 4.636 8.365
1.285 5.548 2.583
2.592 7.582 3.216
3.856 6.671 7.732
1.285 0.765 4.973
5.120 7.582 3.216
3.856 0.510 9.239
1.285 3.563 4.089
3.856 3.307 10.123
1.285 1.475 2.567
2.550 0.564 7.084
0.021 0.564 7.084
3.856 7.380 5.326
5.120 3.509 1.934
0.021 4.636 8.365
1.285 4.838 0.177
1.285 7.009 8.868
1.285 2.937 6.581
3.856 1.136 1.431
3.856 5.209 3.718
1.285 6.065 5.802
3.856 6.153 0.652
3.856 2.081 4.497
1.285 1.992 9.647
```

Total magnetic moment: 0.00 μB/cell
Energy: -4.028 eV per atom
Energy of formation from the pure elements: -0.15 eV/atom
N(E_F): 3.1 states/eV/f.u.

=====

Density functional theory data (PBE) for an optimized crystal structure of AcErIn.

Cell and atoms, written as POSCAR:
```
AcErIn
1.0
3.766 0.000 0.000
0.000 3.766 0.000
-1.883 -1.883 7.010
Ac Er In
1 1 1
Cartesian
1.883 1.883 6.414
0.000 0.000 3.669
1.883 1.883 1.833
```

Energy above the most stable polymorph in this dataset: 62.0 meV/atom
Total magnetic moment: 0.00 μB/cell
Energy: -4.052 eV per atom
Energy of formation from the pure elements: -0.25 eV/atom
N(E_F): 1.7 states/eV/f.u.

=====

Density functional theory data (PBE) for an optimized crystal structure of AcAgSnPd.

Cell and atoms, written as POSCAR:
```
AcAgSnPd
1.0
5.159 0.000 0.000
2.579 4.468 0.000
2.579 1.489 4.212
Pd Sn Ac Ag
1 1 1 1
Cartesian
5.159 2.979 2.106
2.579 1.489 1.053
7.738 4.468 3.159
0.000 0.000 0.000
```

Total magnetic moment: 0.00 μB/cell
Energy: -4.548 eV per atom
Energy of formation from the pure elements: -0.51 eV/atom
N(E_F): 2.4 states/eV/f.u.